Tb2GeRh, optimized geometry, DFT PBE-GGA; crystal system = tetragonal; symmetry = P4/mmm
1.0
4.841 0.000 0.000
0.000 4.841 0.000
0.000 0.000 3.685
Tb Ge Rh
2 1 1
Direct
0.000 0.500 0.000
0.500 0.000 0.000
0.000 0.000 0.500
0.500 0.500 0.500

TbGe3Rh5, optimized geometry, DFT PBE-GGA; crystal system = orthorhombic; symmetry = Cmcm
1.0
2.024 -6.387 0.000
2.024 6.387 0.000
0.000 0.000 12.062
Tb Ge Rh
2 6 10
Direct
0.194 0.806 0.750
0.806 0.194 0.250
0.102 0.898 0.250
0.384 0.616 0.056
0.384 0.616 0.444
0.616 0.384 0.556
0.616 0.384 0.944
0.898 0.102 0.750
0.000 0.000 0.000
0.000 0.000 0.500
0.201 0.799 0.072
0.201 0.799 0.428
0.441 0.559 0.640
0.441 0.559 0.860
0.559 0.441 0.140
0.559 0.441 0.360
0.799 0.201 0.572
0.799 0.201 0.928

Tb3Ge2Rh, optimized geometry, DFT PBE-GGA; crystal system = orthorhombic; symmetry = Pnma
1.0
11.762 0.000 0.000
0.000 4.231 0.000
0.000 0.000 11.266
Tb Ge Rh
12 8 4
Direct
0.053 0.250 0.129
0.121 0.750 0.554
0.225 0.250 0.799
0.275 0.750 0.299
0.379 0.250 0.054
0.447 0.750 0.629
0.553 0.250 0.371
0.621 0.750 0.946
0.725 0.250 0.701
0.775 0.750 0.201
0.879 0.250 0.446
0.947 0.750 0.871
0.008 0.750 0.311
0.188 0.750 0.004
0.312 0.250 0.504
0.492 0.250 0.811
0.508 0.750 0.189
0.688 0.750 0.496
0.812 0.250 0.996
0.992 0.250 0.689
0.131 0.250 0.371
0.369 0.750 0.871
0.631 0.250 0.129
0.869 0.750 0.629

TbGeRh2, optimized geometry, DFT PBE-GGA; crystal system = tetragonal; symmetry = P4/nmm
1.0
3.941 0.000 0.000
0.000 3.941 0.000
0.000 0.000 9.638
Tb Ge Rh
2 2 4
Direct
0.250 0.250 0.200
0.750 0.750 0.800
0.250 0.250 0.653
0.750 0.750 0.347
0.250 0.250 0.906
0.250 0.750 0.500
0.750 0.250 0.500
0.750 0.750 0.094

| no. | formation energy (eV/f.u.) | DOS(E_F) (states/eV per atom) |
| --- | --- | --- |
| 1 | -3.0 | 0.363 |
| 2 | -5.0 | 0.753 |
| 3 | -5.3 | 0.500 |
| 4 | -3.0 | 0.540 |